The following is a DFT calculation (PBE+U) of a relaxed LiNdMoO4 crystal.

Output
- DOS(E_F): 0.00 states/eV per atom
- Magnetization: 2.00 μB/f.u.
- E_tot: -99.0 eV for the cell shown

Cell: 6.369 6.733 7.308 Å, 122.87 90.00 118.23°
Fractional coordinates of all 14 atoms:
Li1 0.928 0.856 0.178
Mo1 0.000 0.500 0.500
O1 0.749 0.498 0.306
O2 0.233 0.942 0.721
O3 0.251 0.502 0.308
Mo2 0.500 0.500 0.500
O4 0.251 0.502 0.694
O5 0.291 0.058 0.279
Nd1 0.500 0.000 0.000
Li2 0.072 0.144 0.822
Nd2 0.500 0.000 0.500
O6 0.709 0.942 0.721
O7 0.749 0.498 0.692
O8 0.767 0.058 0.279